{
  "formula": "GaCuSb",
  "functional": "PBE",
  "state": "relaxed",
  "total_energy_ev_per_atom": -3.387,
  "crystal_system": "cubic",
  "lattice_angstrom": [[6.4502, 0.0000, 0.0000], [0.0000, 6.4502, 0.0000], [0.0000, 0.0000, 6.4502]],
  "species": ["Ga", "Ga", "Ga", "Ga", "Cu", "Cu", "Cu", "Cu", "Sb", "Sb", "Sb", "Sb"],
  "fractional_positions": [[0.0000, 0.0000, 0.0000], [0.0000, 0.5000, 0.5000], [0.5000, 0.0000, 0.5000], [0.5000, 0.5000, 0.0000], [0.0000, 0.0000, 0.5000], [0.0000, 0.5000, 0.0000], [0.5000, 0.0000, 0.0000], [0.5000, 0.5000, 0.5000], [0.2500, 0.2500, 0.7500], [0.2500, 0.7500, 0.2500], [0.7500, 0.2500, 0.2500], [0.7500, 0.7500, 0.7500]]
}